First-principles (PBE+U) data for LiMnF3 after structural relaxation, as listed in Alexandria.

Summary:
Energy above the most stable polymorph in this dataset, eV per atom: 0.000
SG: P6_3cm, No. 185
N(E_F), states/eV/atom: 0.000

Unit cell a=5.915 b=5.915 c=11.673 alpha=89.99 beta=90.00 gamma=120.01
Element x y z (fractional)
F (0.964, 0.334, 0.573)
F (0.297, 0.335, 0.419)
F (0.673, 0.710, 0.918)
F (0.672, 0.959, 0.419)
F (0.964, 0.626, 0.073)
Mn (0.673, 0.334, 0.960)
F (0.382, 0.334, 0.073)
Li (0.673, 0.670, 0.747)
Mn (0.673, 0.334, 0.460)
F (0.673, 0.626, 0.573)
F (0.673, 0.334, 0.780)
Mn (0.339, 0.668, 0.524)
F (0.381, 0.043, 0.573)
F (0.673, 0.043, 0.073)
Li (0.008, 0.670, 0.247)
Li (0.673, 0.998, 0.247)
Mn (0.340, 0.667, 0.024)
Mn (0.006, 0.001, 0.524)
Mn (0.006, 0.001, 0.024)
Li (0.337, 0.998, 0.747)
F (0.298, 0.959, 0.919)
F (0.049, 0.334, 0.919)
F (0.673, 0.334, 0.280)
F (0.339, 0.667, 0.215)
F (0.339, 0.667, 0.715)
F (0.048, 0.710, 0.419)
F (0.006, 0.001, 0.215)
Li (0.337, 0.334, 0.247)
F (0.006, 0.001, 0.715)
Li (0.009, 0.334, 0.747)